Entry from the Alexandria database: a relaxed structure of Ba2NaThO4 (PBE).

The calculation puts the total magnetization at 0.000 μB per atom. Its calculated total energy is -6.569 eV per atom. The uncorrected formation energy is -2.516 eV/atom.

The space group is P2/m (No. 10) and the conventional cell measures 6.254, 3.770 and 6.644 Å, with angles of 90.00, 107.36 and 90.00 degrees. The inequivalent atoms are Ba at (0.000, 0.000, 0.000), Ba at (0.500, 0.500, 0.000), Na at (0.000, 0.500, 0.500), Th at (0.500, 0.000, 0.500), O at (0.276, 0.000, 0.717) and O at (0.288, 0.500, 0.304).